A:
This record from Alexandria describes KNa2Cr after structural relaxation. The functional is PBE.

- Crystal system: tetragonal

Lattice parameters (Å, degrees): 9.4321 9.4321 7.5700 51.47 51.47 90.00
Last column: magnetic moment on the atom in μB.
Atoms (fractional coordinates):
Na (0.6738, 0.1250, 0.2500)  0.00
K (0.2500, 0.7500, 0.5000)  0.01
Na (0.8750, 0.9238, 0.7500)  0.00
K (0.5000, 0.5000, 0.0000)  0.01
Cr (0.7500, 0.2500, 0.5000)  4.24
Na (0.0762, 0.6250, 0.2500)  0.00
Na (0.3750, 0.3262, 0.7500)  0.00
Cr (0.0000, 0.0000, 0.0000)  4.24

---

B:
This record from Alexandria describes KNa2Cr after structural relaxation. The functional is PBE.

- Crystal system: cubic

Lattice parameters (Å, degrees): 5.8434 5.8434 5.8434 60.00 60.00 60.00
Last column: magnetic moment on the atom in μB.
Atoms (fractional coordinates):
Na (0.2500, 0.2500, 0.2500)  0.00
Cr (0.5000, 0.5000, 0.5000)  4.20
Na (0.7500, 0.7500, 0.7500)  0.00
K (0.0000, 0.0000, 0.0000)  0.00

---

Which structure loses on stability? A does.

---

A:
This record from Alexandria describes KNb2Cr after structural relaxation. The functional is PBE.

- Crystal system: tetragonal

Lattice parameters (Å, degrees): 6.2365 6.2365 7.8919 66.73 66.73 90.00
Atoms (fractional coordinates):
Nb (0.8749, 0.6250, 0.2500)
Nb (0.8750, 0.1251, 0.7500)
Nb (0.3750, 0.1249, 0.7500)
K (0.2500, 0.7500, 0.5000)
Nb (0.8751, 0.1250, 0.2500)
Cr (0.0000, 0.0000, 0.0000)
Cr (0.7500, 0.2500, 0.5000)
K (0.5000, 0.5000, 0.0000)

---

B:
This record from Alexandria describes KNb2Cr after structural relaxation. The functional is PBE.

- Crystal system: cubic

Lattice parameters (Å, degrees): 4.7063 4.7063 4.7063 60.00 60.00 60.00
Atoms (fractional coordinates):
Nb (0.7500, 0.7500, 0.7500)
Nb (0.2500, 0.2500, 0.2500)
Cr (0.5000, 0.5000, 0.5000)
K (0.0000, 0.0000, 0.0000)

---

Which structure loses on stability? A does.

---

A:
This record from Alexandria describes K2NbCr after structural relaxation. The functional is PBE.

- Crystal system: cubic

Lattice parameters (Å, degrees): 5.8100 5.8100 5.8100 60.00 60.00 60.00
Last column: magnetic moment on the atom in μB.
Atoms (fractional coordinates):
Nb (0.5000, 0.5000, 0.5000)  -3.04
Cr (0.0000, 0.0000, 0.0000)  4.19
K (0.7500, 0.7500, 0.7500)  -0.02
K (0.2500, 0.2500, 0.2500)  -0.02

---

B:
This record from Alexandria describes K2NbCr after structural relaxation. The functional is PBE.

- Crystal system: tetragonal

Lattice parameters (Å, degrees): 12.5571 12.5571 9.1763 46.83 46.83 90.00
Last column: magnetic moment on the atom in μB.
Atoms (fractional coordinates):
K (0.2788, 0.6250, 0.2500)  0.00
K (0.4712, 0.1250, 0.2500)  0.00
K (0.8750, 0.7212, 0.7500)  0.00
Cr (0.5000, 0.5000, 0.0000)  2.86
K (0.3750, 0.5288, 0.7500)  0.00
Cr (0.2500, 0.7500, 0.5000)  2.86
Nb (0.7500, 0.2500, 0.5000)  -1.84
Nb (0.0000, 0.0000, 0.0000)  -1.84

---

Which structure loses on stability? A does.

---

A:
This record from Alexandria describes K2CrNi after structural relaxation. The functional is PBE.

- Crystal system: monoclinic

Lattice parameters (Å, degrees): 7.5699 5.1943 4.6834 90.07 51.65 116.68
Last column: magnetic moment on the atom in μB.
Atoms (fractional coordinates):
Cr (0.5000, 0.5000, 0.0000)  4.14
Ni (0.0000, 0.5000, 0.5000)  -0.35
K (0.5000, 0.0000, 0.5000)  0.03
K (0.0000, 0.0000, 0.0000)  0.03

---

B:
This record from Alexandria describes K2CrNi after structural relaxation. The functional is PBE.

- Crystal system: tetragonal

Lattice parameters (Å, degrees): 3.4612 3.4581 10.1229 90.00 90.00 90.00
Last column: magnetic moment on the atom in μB.
Atoms (fractional coordinates):
K (0.5000, 0.5000, 0.3356)  0.01
K (0.0000, 0.0000, 0.9195)  0.01
Ni (0.0000, 0.0000, 0.5933)  0.09
Cr (0.5000, 0.5000, 0.6516)  3.41

---

Which structure loses on stability? A does.

---

A:
This record from Alexandria describes K2CrNi after structural relaxation. The functional is PBE.

- Crystal system: tetragonal

Lattice parameters (Å, degrees): 3.3345 3.3345 10.3738 90.00 90.00 89.92
Last column: magnetic moment on the atom in μB.
Atoms (fractional coordinates):
Cr (0.5000, 0.5000, 0.7500)  -4.12
K (0.0000, 0.0000, 0.0358)  -0.01
Ni (0.5000, 0.5000, 0.2500)  -0.18
K (0.0000, 0.0000, 0.4642)  -0.01

---

B:
This record from Alexandria describes K2CrNi after structural relaxation. The functional is PBE.

- Crystal system: tetragonal

Lattice parameters (Å, degrees): 4.4785 4.4787 5.3302 90.00 90.00 90.00
Last column: magnetic moment on the atom in μB.
Atoms (fractional coordinates):
Cr (0.0000, 0.5000, 0.5000)  4.02
Ni (0.5000, 0.0000, 0.5000)  -0.22
K (0.5000, 0.5000, 0.0000)  0.01
K (0.0000, 0.0000, 0.0000)  0.01

---

C:
This record from Alexandria describes K2CrNi after structural relaxation. The functional is PBE.

- Crystal system: monoclinic

Lattice parameters (Å, degrees): 5.1737 3.3675 7.2370 62.40 90.00 90.00
Last column: magnetic moment on the atom in μB.
Atoms (fractional coordinates):
K (0.0000, 0.9842, 0.0153)  0.02
Cr (0.5000, 0.7500, 0.7500)  4.10
K (0.0000, 0.5158, 0.4847)  0.02
Ni (0.5000, 0.2500, 0.2500)  -0.22

---

Which structure loses on stability? C does.

---

A:
This record from Alexandria describes KCrNi2 after structural relaxation. The functional is PBE.

- Crystal system: cubic

Lattice parameters (Å, degrees): 4.5728 4.5728 4.5728 60.00 60.00 60.00
Last column: magnetic moment on the atom in μB.
Atoms (fractional coordinates):
K (0.0000, 0.0000, 0.0000)  0.00
Cr (0.5000, 0.5000, 0.5000)  3.42
Ni (0.7500, 0.7500, 0.7500)  0.19
Ni (0.2500, 0.2500, 0.2500)  0.19

---

B:
This record from Alexandria describes KCrNi2 after structural relaxation. The functional is PBE.

- Crystal system: orthorhombic

Lattice parameters (Å, degrees): 5.6820 5.6820 5.6820 151.82 123.38 64.42
Last column: magnetic moment on the atom in μB.
Atoms (fractional coordinates):
Ni (0.9561, 0.9561, 0.0000)  0.30
Cr (0.7500, 0.2500, 0.5000)  3.04
K (0.2500, 0.7500, 0.5000)  0.04
Ni (0.5439, 0.5439, 0.0000)  0.30

---

Which structure loses on stability? A does.

---

A:
This record from Alexandria describes KCr2Ni after structural relaxation. The functional is PBE.

- Crystal system: orthorhombic

Lattice parameters (Å, degrees): 5.2283 5.2283 2.9492 90.00 90.00 109.12
Last column: magnetic moment on the atom in μB.
Atoms (fractional coordinates):
K (0.5000, 0.0000, 0.5000)  0.08
Cr (0.5000, 0.5000, 0.0000)  3.77
Ni (0.0000, 0.5000, 0.5000)  0.18
Cr (0.0000, 0.0000, 0.0000)  3.77

---

B:
This record from Alexandria describes KCr2Ni after structural relaxation. The functional is PBE.

- Crystal system: tetragonal

Lattice parameters (Å, degrees): 5.6993 5.6993 8.5581 70.55 70.55 90.00
Last column: magnetic moment on the atom in μB.
Atoms (fractional coordinates):
Ni (0.0000, 0.0000, 0.0000)  -0.10
Cr (0.8758, 0.1250, 0.2500)  3.71
K (0.2500, 0.7500, 0.5000)  0.02
Cr (0.8750, 0.1258, 0.7500)  3.71
Cr (0.8742, 0.6250, 0.2500)  3.71
Cr (0.3750, 0.1242, 0.7500)  3.79
K (0.5000, 0.5000, 0.0000)  0.02
Ni (0.7500, 0.2500, 0.5000)  -0.10

---

Which structure loses on stability? A does.

---

A:
This record from Alexandria describes KCr2Ni after structural relaxation. The functional is PBE.

- Crystal system: orthorhombic

Lattice parameters (Å, degrees): 5.9384 5.9384 5.9384 156.07 130.87 55.37
Atoms (fractional coordinates):
Cr (0.0438, 0.0438, 0.0000)
K (0.7500, 0.2500, 0.5000)
Cr (0.4562, 0.4562, 0.0000)
Ni (0.2500, 0.7500, 0.5000)

---

B:
This record from Alexandria describes KCr2Ni after structural relaxation. The functional is PBE.

- Crystal system: cubic

Lattice parameters (Å, degrees): 4.8559 4.8559 4.8559 60.00 60.00 60.00
Last column: magnetic moment on the atom in μB.
Atoms (fractional coordinates):
Cr (0.0000, 0.0000, 0.0000)  3.73
Ni (0.7500, 0.7500, 0.7500)  0.25
Cr (0.2500, 0.2500, 0.2500)  3.96
K (0.5000, 0.5000, 0.5000)  0.03

---

C:
This record from Alexandria describes KCr2Ni after structural relaxation. The functional is PBE.

- Crystal system: orthorhombic

Lattice parameters (Å, degrees): 3.0300 4.7556 5.0698 90.00 90.00 90.00
Last column: magnetic moment on the atom in μB.
Atoms (fractional coordinates):
Cr (0.5000, 0.5000, 0.0000)  -3.38
K (0.5000, 0.0000, 0.5000)  0.05
Cr (0.0000, 0.0000, 0.0000)  3.69
Ni (0.0000, 0.5000, 0.5000)  -0.04

---

D:
This record from Alexandria describes KCr2Ni after structural relaxation. The functional is PBE.

- Crystal system: orthorhombic

Lattice parameters (Å, degrees): 2.7213 3.9266 7.2506 90.00 90.00 90.00
Atoms (fractional coordinates):
Ni (0.5000, 0.5000, 0.7500)
Cr (0.0000, 0.0000, 0.8778)
Cr (0.0000, 0.0000, 0.6222)
K (0.5000, 0.5000, 0.2500)

---

Which structure loses on stability? B does.

---

A:
This record from Alexandria describes KCrNi after structural relaxation. The functional is PBE.

- Crystal system: trigonal

Lattice parameters (Å, degrees): 3.2710 3.2710 7.1645 90.00 90.00 120.00
Last column: magnetic moment on the atom in μB.
Atoms (fractional coordinates):
Ni (0.3333, 0.6667, 0.7245)  0.11
K (0.6667, 0.3333, 0.3558)  0.01
Cr (0.0000, 0.0000, 0.9197)  2.93

---

B:
This record from Alexandria describes KCrNi after structural relaxation. The functional is PBE.

- Crystal system: cubic

Lattice parameters (Å, degrees): 4.8932 4.8932 4.8932 60.00 60.00 60.00
Last column: magnetic moment on the atom in μB.
Atoms (fractional coordinates):
Ni (0.0000, 0.0000, 0.0000)  -0.37
Cr (0.5000, 0.5000, 0.5000)  4.24
K (0.2500, 0.2500, 0.2500)  0.06

---

C:
This record from Alexandria describes KCrNi after structural relaxation. The functional is PBE.

- Crystal system: cubic

Lattice parameters (Å, degrees): 4.7273 4.7273 4.7273 60.00 60.00 60.00
Last column: magnetic moment on the atom in μB.
Atoms (fractional coordinates):
K (0.5000, 0.5000, 0.5000)  0.03
Cr (0.0000, 0.0000, 0.0000)  3.98
Ni (0.7500, 0.7500, 0.7500)  -0.08

---

D:
This record from Alexandria describes KCrNi after structural relaxation. The functional is PBE.

- Crystal system: hexagonal

Lattice parameters (Å, degrees): 4.2180 4.2180 4.6864 90.00 90.00 120.00
Last column: magnetic moment on the atom in μB.
Atoms (fractional coordinates):
Ni (0.3333, 0.6667, 0.8339)  -0.08
K (0.6667, 0.3333, 0.3332)  0.04
Cr (0.0000, 0.0000, 0.8329)  3.72

---

Which structure loses on stability? B does.

---

A:
This record from Alexandria describes KCrNi3 after structural relaxation. The functional is PBE.

- Crystal system: cubic

Lattice parameters (Å, degrees): 4.4806 4.4806 4.4806 90.00 90.00 90.00
Last column: magnetic moment on the atom in μB.
Atoms (fractional coordinates):
K (0.0000, 0.0000, 0.0000)  -0.01
Ni (0.5000, 0.0000, 0.0000)  -0.39
Cr (0.5000, 0.5000, 0.5000)  -3.81
Ni (0.0000, 0.5000, 0.0000)  -0.17
Ni (0.0000, 0.0000, 0.5000)  -0.05

---

B:
This record from Alexandria describes KCrNi3 after structural relaxation. The functional is PBE.

- Crystal system: cubic

Lattice parameters (Å, degrees): 4.5021 4.5021 4.5021 90.00 90.00 90.00
Last column: magnetic moment on the atom in μB.
Atoms (fractional coordinates):
K (0.5000, 0.5000, 0.5000)  0.00
Cr (0.0000, 0.0000, 0.0000)  1.74
Ni (0.5000, 0.0000, 0.0000)  0.22
Ni (0.0000, 0.5000, 0.0000)  0.28
Ni (0.0000, 0.0000, 0.5000)  0.28

---

Which structure loses on stability? A does.